[1]
Density functional theory data (PBE) for a relaxed La4SmRh crystal.

Values from the calculation:
* total moment: 0.00 μB/atom
* mass density: 6.78 g/cm³
* total energy: -0.202 Ha/atom
* ΔE_f: -0.213 eV/atom

a = 6.1561 Å, b = 7.6968 Å, c = 9.7146 Å
α = 113.34°, β = 108.55°, γ = 90.00°
Last column: nearest neighbours and their distance in Å.
Fractional positions:
La: 0.1746 0.6744 0.3487  2 Rh 3.34, 2 La 3.71, 1 Sm 3.74
La: 0.3846 0.1341 0.7698  2 Rh 3.08-3.09
La: 0.6154 0.3643 0.2302  2 Rh 3.08-3.09
La: 0.0000 0.7973 0.0000  2 Rh 2.81, 1 La 3.12
La: 0.6154 0.8659 0.2302  2 Rh 3.08-3.09
La: 0.3846 0.6357 0.7698  2 Rh 3.08-3.09
La: 0.0000 0.2027 0.0000  2 Rh 2.81, 1 La 3.12
La: 0.8254 0.3256 0.6513  2 Rh 3.34, 2 La 3.71, 1 Sm 3.74
Sm: 0.8022 0.8021 0.6041  12 La 3.66-3.89
Sm: 0.1978 0.1979 0.3959  12 La 3.66-3.89
Rh: 0.7345 0.4999 0.9998  6 La 2.81-3.09, 1 Rh 2.89
Rh: 0.2655 0.5001 0.0002  6 La 2.81-3.09, 1 Rh 2.89

***

[2]
Density functional theory data (PBE) for a relaxed LaSmRh crystal.

Values from the calculation:
* total moment: 0.00 μB/atom
* mass density: 7.77 g/cm³
* total energy: -0.228 Ha/atom
* ΔE_f: -0.535 eV/atom
* offset from the most stable computed form: 0.000 eV per atom

a = 4.9363 Å, b = 4.9370 Å, c = 6.8776 Å
α = 91.25°, β = 91.41°, γ = 90.02°
Last column: nearest neighbours and their distance in Å.
Fractional positions:
Sm: 0.8108 0.3690 0.9195  4 Rh 2.91-2.97
Sm: 0.3164 0.8641 0.9197  4 Rh 2.91-2.97
Rh: 0.2958 0.3508 0.6866  1 La 2.61, 2 Sm 2.91-2.92
Rh: 0.8315 0.8827 0.1526  1 La 2.61, 2 Sm 2.91-2.92
La: 0.8163 0.8686 0.5307  1 Rh 2.61
La: 0.3107 0.3636 0.3085  1 Rh 2.61

***

[3]
Density functional theory data (PBE) for a relaxed La3Sm2Rh3 crystal.

Values from the calculation:
* total moment: 0.00 μB/atom
* mass density: 7.35 g/cm³
* total energy: -0.232 Ha/atom
* ΔE_f: -0.532 eV/atom

a = 5.8298 Å, b = 6.9200 Å, c = 14.0714 Å
α = 89.10°, β = 89.70°, γ = 125.24°
Last column: nearest neighbours and their distance in Å.
Fractional positions:
La: 0.9281 0.8927 0.8750  3 Rh 2.89-2.96
La: 0.7847 0.4521 0.2478  4 Rh 2.92-2.95
La: 0.1002 0.1321 0.1176  3 Rh 2.84-2.91
La: 0.2154 0.5480 0.7499  4 Rh 2.90-2.94
La: 0.6593 0.2543 0.5765  4 Rh 2.96-2.99
La: 0.0863 0.1190 0.3822  3 Rh 2.90-2.95
Rh: 0.7441 0.6156 0.4334  3 Sm 2.83-2.98, 3 La 2.92-2.99, 1 Rh 3.08
Rh: 0.7774 0.6510 0.0635  3 La 2.84-2.96, 3 Sm 2.86-2.96, 1 Rh 3.10
Rh: 0.3323 0.5190 0.2502  4 La 2.90-2.95, 2 Sm 2.94-2.95
Rh: 0.6695 0.4801 0.7560  2 Sm 2.86-2.91, 4 La 2.91-2.97
Rh: 0.2268 0.3499 0.5682  2 Sm 2.91-2.93, 4 La 2.94-2.98, 1 Rh 3.08
Rh: 0.2551 0.3786 0.9348  3 La 2.89-2.90, 3 Sm 2.90-2.97, 1 Rh 3.10
Sm: 0.7010 0.2956 0.9391  4 Rh 2.86-2.97
Sm: 0.3281 0.7278 0.0666  4 Rh 2.90-2.96
Sm: 0.3012 0.7045 0.4326  4 Rh 2.91-2.98
Sm: 0.8705 0.8398 0.6110  3 Rh 2.83-2.93

***

[4]
Density functional theory data (PBE) for a relaxed La4Sm3Rh4 crystal.

Values from the calculation:
* total moment: 0.00 μB/atom
* mass density: 7.94 g/cm³
* total energy: -0.230 Ha/atom
* ΔE_f: -0.505 eV/atom

a = 4.0739 Å, b = 9.7031 Å, c = 9.1679 Å
α = 121.95°, β = 102.84°, γ = 90.00°
Last column: nearest neighbours and their distance in Å.
Fractional positions:
La: 0.6564 0.4622 0.3127  3 Rh 2.78-2.88
La: 0.3436 0.1495 0.6873  3 Rh 2.78-2.88
La: 0.6564 0.8505 0.3127  3 Rh 2.78-2.88
La: 0.3436 0.5378 0.6873  3 Rh 2.78-2.88
Sm: 0.0000 0.5000 0.0000  2 Rh 3.13
Sm: 0.8869 0.8869 0.7739  6 Rh 3.03-3.37, 1 Sm 3.40
Sm: 0.1131 0.1131 0.2261  6 Rh 3.03-3.37, 1 Sm 3.40
Rh: 0.5000 0.1516 0.0000  2 La 2.78, 1 Rh 2.94, 4 Sm 3.03
Rh: 0.5000 0.8484 0.0000  2 La 2.78, 1 Rh 2.94, 4 Sm 3.03
Rh: 0.7916 0.2916 0.5833  4 La 2.88, 1 Sm 3.13
Rh: 0.2084 0.7084 0.4167  4 La 2.88, 1 Sm 3.13

***

[5]
Density functional theory data (PBE) for a relaxed La2SmRh9 crystal.

Values from the calculation:
* total moment: 0.00 μB/atom
* mass density: 10.24 g/cm³
* total energy: -0.266 Ha/atom
* ΔE_f: -0.519 eV/atom

a = 5.3211 Å, b = 5.3211 Å, c = 9.4669 Å
α = 73.68°, β = 73.68°, γ = 60.00°
Last column: nearest neighbours and their distance in Å.
Fractional positions:
Sm: 0.0000 0.0000 0.0000  18 Rh 3.07-3.43
Rh: 0.5800 0.0816 0.7583  7 Rh 2.64-2.77
Rh: 0.3327 0.3327 0.0020  6 Rh 2.64-2.67
Rh: 0.4200 0.4200 0.2417  7 Rh 2.64-2.77
Rh: 0.4200 0.9184 0.2417  7 Rh 2.64-2.77
Rh: 0.6673 0.6673 0.9980  6 Rh 2.64-2.67
Rh: 0.9184 0.4200 0.2417  7 Rh 2.64-2.77
Rh: 0.5800 0.5800 0.7583  7 Rh 2.64-2.77
Rh: 0.5000 0.5000 0.5000  6 Rh 2.77
Rh: 0.0816 0.5800 0.7583  7 Rh 2.64-2.77
La: 0.8615 0.8615 0.4155  12 Rh 3.08-3.43, 3 La 3.42
La: 0.1385 0.1385 0.5845  12 Rh 3.08-3.43, 3 La 3.42

***

[6]
Density functional theory data (PBE) for a relaxed LaSm3Rh crystal.

Values from the calculation:
* total moment: 0.00 μB/atom
* mass density: 7.29 g/cm³
* total energy: -0.205 Ha/atom
* ΔE_f: -0.285 eV/atom
* offset from the most stable computed form: 0.045 eV per atom

a = 5.9895 Å, b = 7.8016 Å, c = 7.8030 Å
α = 120.00°, β = 90.00°, γ = 90.00°
Last column: nearest neighbours and their distance in Å.
Fractional positions:
La: 0.7501 0.6668 0.3334  12 Sm 3.66-3.90
La: 0.2499 0.3332 0.6666  12 Sm 3.66-3.90
Sm: 0.2498 0.3550 0.1775  2 Rh 2.83
Sm: 0.7501 0.1775 0.3550  2 Rh 2.83
Sm: 0.7502 0.1775 0.8225  2 Rh 2.83
Sm: 0.7502 0.6450 0.8225  2 Rh 2.83
Sm: 0.2498 0.8225 0.1775  2 Rh 2.83
Sm: 0.2499 0.8225 0.6450  2 Rh 2.83
Rh: 0.5000 0.0000 0.0000  6 Sm 2.83, 2 Rh 2.99
Rh: 0.0000 0.0000 0.0000  6 Sm 2.83, 2 Rh 2.99

***

[7]
Density functional theory data (PBE) for a relaxed La3Sm2Rh2 crystal.

Values from the calculation:
* total moment: 0.00 μB/atom
* mass density: 7.43 g/cm³
* total energy: -0.222 Ha/atom
* ΔE_f: -0.482 eV/atom

a = 3.9678 Å, b = 6.5701 Å, c = 8.8274 Å
α = 100.15°, β = 103.04°, γ = 107.56°
Last column: nearest neighbours and their distance in Å.
Fractional positions:
La: 0.1866 0.7994 0.5744  3 Rh 2.93-2.98
La: 0.5000 0.0000 0.0000  4 Rh 3.14
La: 0.8134 0.2006 0.4256  3 Rh 2.93-2.98
Sm: 0.3601 0.5336 0.1860  2 Rh 2.91
Sm: 0.6399 0.4664 0.8140  2 Rh 2.91
Rh: 0.9331 0.1151 0.7510  2 Sm 2.91, 5 La 2.93-3.14
Rh: 0.0669 0.8849 0.2490  2 Sm 2.91, 5 La 2.93-3.14

***

[8]
Density functional theory data (PBE) for a relaxed La3SmRh2 crystal.

Values from the calculation:
* total moment: 0.00 μB/atom
* mass density: 7.36 g/cm³
* total energy: -0.230 Ha/atom
* ΔE_f: -0.553 eV/atom
* offset from the most stable computed form: 0.000 eV per atom

a = 7.0417 Å, b = 7.5098 Å, c = 7.8139 Å
α = 105.11°, β = 90.00°, γ = 117.96°
Last column: nearest neighbours and their distance in Å.
Fractional positions:
Rh: 0.6249 0.2483 0.5619  4 La 2.76-3.04, 2 Sm 3.01
Rh: 0.6234 0.2483 0.0619  4 La 2.76-3.04, 2 Sm 3.01
Rh: 0.3751 0.7517 0.4381  4 La 2.76-3.04, 2 Sm 3.01
Rh: 0.3766 0.7517 0.9381  4 La 2.76-3.04, 2 Sm 3.01
Sm: 0.2642 0.0000 0.2500  4 Rh 3.01
Sm: 0.7358 0.0000 0.7500  4 Rh 3.01
La: 0.7764 0.5559 0.3890  2 Rh 2.76
La: 0.7427 0.0000 0.2500  4 Rh 3.03-3.04, 1 Sm 3.37
La: 0.2573 0.0000 0.7500  4 Rh 3.03-3.04, 1 Sm 3.37
La: 0.7795 0.5559 0.8890  2 Rh 2.76
La: 0.2236 0.4441 0.6110  2 Rh 2.76
La: 0.2205 0.4441 0.1110  2 Rh 2.76

***

[9]
Density functional theory data (PBE) for a relaxed La3SmRh2 crystal.

Values from the calculation:
* total moment: 0.00 μB/atom
* mass density: 7.10 g/cm³
* total energy: -0.228 Ha/atom
* ΔE_f: -0.495 eV/atom
* offset from the most stable computed form: 0.058 eV per atom

a = 6.9873 Å, b = 7.3965 Å, c = 8.6532 Å
α = 115.30°, β = 113.81°, γ = 90.00°
Last column: nearest neighbours and their distance in Å.
Fractional positions:
La: 0.7697 0.5197 0.5394  4 Rh 3.00-3.04
La: 0.2303 0.4803 0.4606  4 Rh 3.00-3.04
La: 0.5000 0.2500 0.0000  4 Rh 3.04
La: 0.7697 0.0197 0.5394  4 Rh 3.00-3.04
La: 0.5000 0.7500 0.0000  4 Rh 3.04
La: 0.2303 0.9803 0.4606  4 Rh 3.00-3.04
Rh: 0.4273 0.6373 0.2746  1 Sm 2.79, 6 La 3.00-3.04
Rh: 0.1527 0.8627 0.7254  1 Sm 2.79, 6 La 3.00-3.04
Rh: 0.5727 0.3627 0.7254  1 Sm 2.79, 6 La 3.00-3.04
Rh: 0.8473 0.1373 0.2746  1 Sm 2.79, 6 La 3.00-3.04
Sm: 0.0000 0.0000 0.0000  2 Rh 2.79
Sm: 0.0000 0.5000 0.0000  2 Rh 2.79

***

[10]
Density functional theory data (PBE) for a relaxed LaSmRh crystal.

Values from the calculation:
* total moment: 0.00 μB/atom
* mass density: 6.79 g/cm³
* total energy: -0.227 Ha/atom
* ΔE_f: -0.510 eV/atom
* offset from the most stable computed form: 0.026 eV per atom

a = 6.4774 Å, b = 4.1361 Å, c = 4.1361 Å
α = 120.00°, β = 90.00°, γ = 90.00°
Last column: nearest neighbours and their distance in Å.
Fractional positions:
Rh: 0.9999 0.0000 0.0000  3 La 2.83, 3 Sm 2.84
La: 0.7641 0.6667 0.3333  3 Rh 2.83
Sm: 0.2360 0.3333 0.6667  3 Rh 2.84

***

[11]
Density functional theory data (PBE) for a relaxed LaSmRh crystal.

Values from the calculation:
* total moment: 0.00 μB/atom
* mass density: 7.54 g/cm³
* total energy: -0.226 Ha/atom
* ΔE_f: -0.479 eV/atom
* offset from the most stable computed form: 0.057 eV per atom

a = 4.9608 Å, b = 4.9608 Å, c = 4.9608 Å
α = 60.00°, β = 60.00°, γ = 60.00°
Last column: nearest neighbours and their distance in Å.
Fractional positions:
Rh: 0.2500 0.2500 0.2500  4 La 3.04, 4 Sm 3.04
La: 0.0000 0.0000 0.0000  4 Rh 3.04
Sm: 0.5000 0.5000 0.5000  4 Rh 3.04